Record 1
# RbB3Au

RbB3Au after structural relaxation (PBE-GGA, Alexandria via LeMat-Bulk).

The total moment comes out at 0.9 Bohr magnetons per cell. The value obtained for the mass density is 4.37 Mg/m³. For the formation energy, the calculation gives 1672.1 kJ/mol of formula units.

The structure belongs to space group Pm-3m (No. 221); the cell edges are 4.9267, 4.9267 and 4.9267 Å and the angles 90.00°, 90.00° and 90.00°. The distinct sites, in fractional coordinates, are Rb at (0.0000, 0.0000, 0.0000), B at (0.0000, 0.0000, 0.5000) and Au at (0.5000, 0.5000, 0.5000).


Record 2
# RbB2Au2

RbB2Au2 after structural relaxation (PBE-GGA, Alexandria via LeMat-Bulk).

The total moment comes out at 1.3 Bohr magnetons per cell. The value obtained for the mass density is 7.37 Mg/m³. For the formation energy, the calculation gives 476.8 kJ/mol of formula units.

The structure belongs to space group P4/mbm (No. 127); the cell edges are 8.0538, 8.0538 and 3.4799 Å and the angles 90.00°, 90.00° and 90.00°. The distinct sites, in fractional coordinates, are Rb at (0.0000, 0.0000, 0.0000), B at (0.0717, 0.4283, 0.0000) and Au at (0.1279, 0.6279, 0.5000).


Record 3
# RbB2Au2

RbB2Au2 after structural relaxation (PBE-GGA, Alexandria via LeMat-Bulk).

The total moment comes out at 0.0 Bohr magnetons per cell. The value obtained for the mass density is 9.75 Mg/m³. For the formation energy, the calculation gives 377.8 kJ/mol of formula units.

The structure belongs to space group I4/mmm (No. 139); the cell edges are 4.3954, 4.3954 and 8.8329 Å and the angles 90.00°, 90.00° and 90.00°. The distinct sites, in fractional coordinates, are Rb at (0.0000, 0.0000, 0.0000), B at (0.0000, 0.0000, 0.4011) and Au at (0.0000, 0.5000, 0.2500).